# 1
Density functional theory data (PBE) for crystalline Na2MgAgCl6 at its relaxed geometry.

Summary:
Symmetry ... P1 (1)
DOS at the Fermi energy ... 0.17 states/eV/atom
Uncorrected formation energy ... -13.34 eV/f.u.

Unit cell a=7.087 b=6.628 c=7.455 alpha=61.40 beta=57.40 gamma=60.16
Fractional positions:
Na1 0.516 0.528 0.436
Na2 0.009 0.037 0.926
Mg1 0.825 0.820 0.535
Ag1 0.329 0.319 0.035
Cl1 0.613 0.156 0.302
Cl2 0.205 0.949 0.256
Cl3 0.958 0.583 0.259
Cl4 0.448 0.696 0.766
Cl5 0.697 0.090 0.768
Cl6 0.061 0.484 0.733


# 2
Density functional theory data (PBE) for crystalline MgNpZn2O6 at its relaxed geometry.

Summary:
Symmetry ... R3 (146)
Uncorrected formation energy ... -21.79 eV/f.u.

Unit cell a=5.331 b=5.331 c=5.721 alpha=62.22 beta=62.22 gamma=59.99
Fractional positions:
Mg1 0.816 0.816 0.551
Np1 0.319 0.320 0.041
Zn1 0.533 0.533 0.400
Zn2 0.030 0.030 0.910
O1 0.593 0.214 0.267
O2 0.214 0.926 0.267
O3 0.926 0.593 0.267
O4 0.422 0.709 0.771
O5 0.709 0.098 0.771
O6 0.098 0.422 0.771


# 3
Density functional theory data (PBE) for crystalline LaFe2Br at its relaxed geometry.

Summary:
Symmetry ... I-4m2 (119)
Energy relative to the lowest polymorph listed for this composition ... 0.435 eV/atom
DOS at the Fermi energy ... 0.75 states/eV/atom
Uncorrected formation energy ... 1.30 eV/f.u.

Unit cell a=4.946 b=4.946 c=4.946 alpha=121.31 beta=121.31 gamma=87.74
Fractional positions:
Br1 0.750 0.250 0.500
Fe1 0.000 0.000 0.000
Fe2 0.250 0.750 0.500
La1 0.500 0.500 0.000


# 4
Density functional theory data (PBE) for crystalline ZnNiH2 at its relaxed geometry.

Summary:
Final energy ... -11.692 eV per cell
Symmetry ... Fm-3m (225)
DOS at the Fermi energy ... 0.53 states/eV/atom

Unit cell a=3.551 b=3.551 c=3.551 alpha=60.00 beta=60.00 gamma=60.00
Fractional positions:
Ni1 0.000 0.000 0.000
Zn1 0.500 0.500 0.500
H1 0.250 0.250 0.250
H2 0.750 0.750 0.750


# 5
Density functional theory data (PBE) for crystalline K3Er3PaS8 at its relaxed geometry.

Summary:
Symmetry ... C2/m (12)
DOS at the Fermi energy ... 0.22 states/eV/atom
Uncorrected formation energy ... -27.51 eV/f.u.

Unit cell a=8.022 b=8.022 c=8.796 alpha=117.17 beta=89.97 gamma=120.00
Fractional positions:
K1 0.000 0.000 0.000
K2 0.000 0.500 0.000
K3 0.500 0.500 0.000
Er1 0.500 0.000 0.500
Er2 0.500 0.500 0.500
Er3 0.000 0.500 0.500
Pa1 0.000 0.000 0.500
S1 0.267 0.535 0.302
S2 0.733 0.465 0.698
S3 0.768 0.536 0.304
S4 0.232 0.464 0.696
S5 0.768 0.036 0.304
S6 0.232 0.964 0.696
S7 0.268 0.036 0.304
S8 0.732 0.964 0.696


# 6
Density functional theory data (PBE) for crystalline RbAg2IO at its relaxed geometry.

Summary:
Symmetry ... P4/mmm (123)
DOS at the Fermi energy ... 2.76 states/eV/atom
Uncorrected formation energy ... 6.35 eV/f.u.

Unit cell a=6.579 b=6.437 c=6.579 alpha=90.00 beta=90.00 gamma=90.00
Fractional positions:
I1 0.000 0.500 0.000
O1 0.500 0.500 0.500
Rb1 0.000 0.000 0.000
Ag1 0.000 0.000 0.500
Ag2 0.500 0.000 0.000


# 7
Density functional theory data (PBE) for crystalline ZrFe2Si2 at its relaxed geometry.

Summary:
Symmetry ... P4/mbm (127)
Energy relative to the lowest polymorph listed for this composition ... 0.272 eV/atom
DOS at the Fermi energy ... 0.96 states/eV/atom
Uncorrected formation energy ... -1.91 eV/f.u.

Unit cell a=7.000 b=7.000 c=2.680 alpha=90.00 beta=90.00 gamma=90.00
Fractional positions:
Si1 0.364 0.864 0.000
Si2 0.864 0.636 0.000
Si3 0.636 0.136 0.000
Si4 0.136 0.364 0.000
Fe1 0.151 0.651 0.500
Fe2 0.651 0.849 0.500
Fe3 0.849 0.349 0.500
Fe4 0.349 0.151 0.500
Zr1 0.000 0.000 0.000
Zr2 0.500 0.500 0.000


# 8
Density functional theory data (PBE) for crystalline Tb2Si4PtRh3 at its relaxed geometry.

Summary:
Symmetry ... P-4m2 (115)
DOS at the Fermi energy ... 0.48 states/eV/atom
Uncorrected formation energy ... -10.66 eV/f.u.

Unit cell a=4.100 b=4.100 c=10.013 alpha=90.00 beta=90.00 gamma=90.00
Fractional positions:
Tb1 0.500 0.000 0.241
Tb2 0.000 0.500 0.759
Si1 0.500 0.500 0.000
Si2 0.000 0.000 0.000
Si3 0.500 0.000 0.638
Si4 0.000 0.500 0.362
Pt1 0.500 0.500 0.500
Rh1 0.000 0.000 0.500
Rh2 0.500 0.000 0.873
Rh3 0.000 0.500 0.127


# 9
Density functional theory data (PBE) for crystalline KCaBr2 at its relaxed geometry.

Summary:
Symmetry ... C2/m (12)
Energy relative to the lowest polymorph listed for this composition ... 0.005 eV/atom
DOS at the Fermi energy ... 0.27 states/eV/atom
Uncorrected formation energy ... -5.92 eV/f.u.

Unit cell a=4.341 b=4.341 c=11.015 alpha=79.07 beta=79.07 gamma=60.01
Fractional positions:
Br1 0.037 0.037 0.895
Br2 0.463 0.463 0.605
Ca1 0.750 0.750 0.750
K1 0.250 0.250 0.250


# 10
Density functional theory data (PBE) for crystalline PmDy2Tm7 at its relaxed geometry.

Summary:
Symmetry ... Cmmm (65)
Energy relative to the lowest polymorph listed for this composition ... 0.693 eV/atom
DOS at the Fermi energy ... 1.54 states/eV/atom
ΔE_f ... 717 meV/atom

Unit cell a=5.387 b=9.287 c=9.287 alpha=124.48 beta=90.00 gamma=90.00
Fractional positions:
Pm1 0.000 0.000 0.000
Dy1 0.500 0.701 0.299
Dy2 0.500 0.299 0.701
Tm1 0.000 0.795 0.205
Tm2 0.000 0.205 0.795
Tm3 0.500 0.063 0.290
Tm4 0.500 0.937 0.710
Tm5 0.500 0.290 0.063
Tm6 0.500 0.710 0.937
Tm7 0.500 0.500 0.500


# 11
Density functional theory data (PBE) for crystalline NbTe2N2 at its relaxed geometry.

Summary:
Symmetry ... P4/mmm (123)
Energy relative to the lowest polymorph listed for this composition ... 1.111 eV/atom
DOS at the Fermi energy ... 0.93 states/eV/atom
Uncorrected formation energy ... 8.07 eV/f.u.

Unit cell a=4.087 b=4.087 c=6.098 alpha=90.00 beta=90.00 gamma=90.00
Fractional positions:
Nb1 0.500 0.500 0.500
Te1 0.000 0.000 0.000
Te2 0.000 0.000 0.500
N1 0.000 0.500 0.000
N2 0.500 0.000 0.000


# 12
Density functional theory data (PBE) for crystalline Ac2Dy2Pt15 at its relaxed geometry.

Summary:
Symmetry ... R-3m (166)
DOS at the Fermi energy ... 0.87 states/eV/atom
ΔE_f ... -763 meV/atom

Unit cell a=7.170 b=7.170 c=7.170 alpha=82.54 beta=82.54 gamma=82.54
Fractional positions:
Ac1 0.355 0.355 0.355
Ac2 0.645 0.645 0.645
Dy1 0.106 0.106 0.106
Dy2 0.894 0.894 0.894
Pt1 0.500 0.000 0.000
Pt2 0.000 0.000 0.500
Pt3 0.000 0.500 0.000
Pt4 0.000 0.694 0.306
Pt5 0.694 0.306 0.000
Pt6 0.306 0.000 0.694
Pt7 0.306 0.694 0.000
Pt8 0.694 0.000 0.306
Pt9 0.000 0.306 0.694
Pt10 0.156 0.654 0.654
Pt11 0.654 0.654 0.156
Pt12 0.654 0.156 0.654
Pt13 0.844 0.346 0.346
Pt14 0.346 0.346 0.844
Pt15 0.346 0.844 0.346


Number 1: total magnetization 1.036 μB per cell. Number 2: total magnetization 1.000 μB per cell. Number 3: total magnetization 5.762 μB per cell. Number 4: total magnetization 0.000 μB per cell. Number 5: total magnetization 1.043 μB per cell. Number 6: total magnetization 0.000 μB per cell. Number 7: total magnetization 0.000 μB per cell. Number 8: total magnetization 0.000 μB per cell. Number 9: total magnetization 0.000 μB per cell. Number 10: total magnetization 0.000 μB per cell. Number 11: total magnetization 1.835 μB per cell. Number 12: total magnetization 0.000 μB per cell.